# 1
HoAl3Au | GGA-PBE | optimized geometry

The space group is I4mm (No. 107) and the conventional cell measures 4.1605, 4.1605 and 11.3032 Å, with angles of 90.00, 90.00 and 90.00 degrees. Symmetry generates all atoms from Ho at (0.0000, 0.0000, 0.0000), Al at (0.0000, 0.0000, 0.4054), Al at (0.0000, 0.5000, 0.2585) and Au at (0.0000, 0.0000, 0.6233).

For the formation energy, the calculation gives -0.569 eV per atom. The energy above the lowest structure with this stoichiometry comes out at 0 meV per atom.

# 2
Nb2Pt3Rh | GGA-PBE | optimized geometry

The space group is Fmmm (No. 69) and the conventional cell measures 5.5181, 8.8024 and 16.1129 Å, with angles of 90.00, 90.00 and 90.00 degrees. Symmetry generates all atoms from Nb at (0.2500, 0.0000, 0.0000), Nb at (0.2500, 0.2500, 0.2500), Pt at (0.0000, 0.0000, 0.1601), Pt at (0.0000, 0.2371, 0.4178) and Rh at (0.0000, 0.0000, 0.3203).

For the formation energy, the calculation gives -0.409 eV per atom. The energy above the lowest structure with this stoichiometry comes out at 22 meV per atom.

# 3
BaLiPmGa | GGA-PBE | optimized geometry

The space group is F-43m (No. 216) and the conventional cell measures 7.8490, 7.8490 and 7.8490 Å, with angles of 90.00, 90.00 and 90.00 degrees. Symmetry generates all atoms from Ba at (0.0000, 0.0000, 0.0000), Li at (0.2500, 0.2500, 0.7500), Pm at (0.0000, 0.0000, 0.5000) and Ga at (0.2500, 0.2500, 0.2500).

For the formation energy, the calculation gives -0.100 eV per atom.